1.
A plane-wave DFT calculation with PBE was carried out for crystalline CdIn7Sn4 at its relaxed geometry.

Unit cell a=3.393 b=3.393 c=32.504 alpha=90.00 beta=90.00 gamma=120.00
Sites, in units of the cell vectors:
Cd 0.000 0.000 0.500
In 0.000 0.000 0.000
In 0.667 0.333 0.832
In 0.000 0.000 0.254
Sn 0.667 0.333 0.083
Sn 0.667 0.333 0.339
Sn 0.333 0.667 0.917
In 0.333 0.667 0.168
In 0.333 0.667 0.422
In 0.000 0.000 0.746
Sn 0.333 0.667 0.661
In 0.667 0.333 0.578

Summary:
uncorrected energy	-2.977	eV/atom
ΔE_f	31	meV/atom

---

2.
A plane-wave DFT calculation with PBE was carried out for crystalline Cd4In3Sn2 at its relaxed geometry.

Unit cell a=4.714 b=5.679 c=9.824 alpha=74.75 beta=90.00 gamma=114.52
Sites, in units of the cell vectors:
Cd 0.002 0.004 0.335
In 0.666 0.333 0.441
Cd 0.668 0.336 0.112
In 0.000 0.000 0.000
Sn 0.662 0.324 0.783
Cd 0.998 0.996 0.665
Cd 0.332 0.664 0.888
Sn 0.338 0.676 0.217
In 0.334 0.667 0.559

Summary:
uncorrected energy	-2.167	eV/atom
polymorph energy (0 for the lowest one)	0.00	eV per formula unit
ΔE_f	42	meV/atom

---

3.
A plane-wave DFT calculation with PBE was carried out for crystalline Cd3InSn at its relaxed geometry.

Unit cell a=4.499 b=6.648 c=9.565 alpha=115.68 beta=103.60 gamma=90.00
Sites, in units of the cell vectors:
Cd 0.201 0.037 0.401
Cd 0.003 0.747 0.006
Sn 0.196 0.540 0.393
Cd 0.596 0.641 0.193
In 0.401 0.863 0.802
Cd 0.799 0.963 0.599
Cd 0.404 0.359 0.807
In 0.599 0.137 0.198
Sn 0.804 0.460 0.607
Cd 0.997 0.253 0.994

Summary:
uncorrected energy	-1.861	eV/atom
polymorph energy (0 for the lowest one)	0.00	eV per formula unit
ΔE_f	36	meV/atom

---

4.
A plane-wave DFT calculation with PBE was carried out for crystalline CdIn15Sn4 at its relaxed geometry.

Unit cell a=4.488 b=4.488 c=26.924 alpha=90.00 beta=90.00 gamma=90.00
Sites, in units of the cell vectors:
In 0.500 0.000 0.903
In 0.500 0.500 0.803
Cd 0.000 0.000 0.000
In 0.000 0.500 0.500
Sn 0.000 0.000 0.599
In 0.000 0.500 0.903
In 0.500 0.500 0.000
In 0.500 0.000 0.300
In 0.500 0.000 0.097
Sn 0.000 0.000 0.801
In 0.000 0.500 0.700
In 0.500 0.500 0.398
In 0.500 0.500 0.197
In 0.500 0.000 0.500
In 0.500 0.500 0.602
In 0.500 0.000 0.700
Sn 0.000 0.000 0.199
In 0.000 0.500 0.300
Sn 0.000 0.000 0.401
In 0.000 0.500 0.097

Summary:
uncorrected energy	-2.871	eV/atom
ΔE_f	29	meV/atom

---

5.
A plane-wave DFT calculation with PBE was carried out for crystalline Cd12In4Sn at its relaxed geometry.

Unit cell a=8.647 b=8.659 c=8.655 alpha=109.49 beta=109.43 gamma=109.45
Sites, in units of the cell vectors:
Cd 0.145 0.352 0.497
Cd 0.648 0.794 0.146
Cd 0.854 0.352 0.206
In 0.000 0.500 0.000
Cd 0.855 0.648 0.503
In 0.000 0.000 0.500
Cd 0.794 0.146 0.648
Cd 0.497 0.146 0.352
Cd 0.648 0.503 0.854
Cd 0.352 0.206 0.854
In 0.500 0.500 0.500
Sn 0.000 0.000 0.000
Cd 0.503 0.854 0.648
Cd 0.206 0.854 0.352
Cd 0.352 0.497 0.146
In 0.500 0.000 0.000
Cd 0.146 0.648 0.794

Summary:
uncorrected energy	-1.300	eV/atom
ΔE_f	226	meV/atom

---

6.
A plane-wave DFT calculation with PBE was carried out for crystalline CdIn8Sn2 at its relaxed geometry.

Unit cell a=5.781 b=6.300 c=9.345 alpha=109.70 beta=105.67 gamma=90.00
Sites, in units of the cell vectors:
Sn 0.404 0.740 0.479
Sn 0.596 0.260 0.521
Cd 0.000 0.000 0.000
In 0.518 0.159 0.823
In 0.482 0.841 0.177
In 0.966 0.817 0.633
In 0.482 0.335 0.177
In 0.518 0.665 0.823
In 0.956 0.586 0.171
In 0.044 0.414 0.829
In 0.034 0.183 0.367

Summary:
uncorrected energy	-2.750	eV/atom
polymorph energy (0 for the lowest one)	0.00	eV per formula unit
ΔE_f	53	meV/atom

---

7.
A plane-wave DFT calculation with PBE was carried out for crystalline Cd12In6Sn at its relaxed geometry.

Unit cell a=8.010 b=8.010 c=8.010 alpha=98.33 beta=98.33 gamma=98.33
Sites, in units of the cell vectors:
Sn 0.000 0.000 0.000
Cd 0.300 0.011 0.796
Cd 0.810 0.466 0.382
In 0.445 0.229 0.153
Cd 0.796 0.300 0.011
Cd 0.190 0.534 0.618
In 0.555 0.771 0.847
Cd 0.534 0.618 0.190
Cd 0.989 0.204 0.700
Cd 0.382 0.810 0.466
In 0.771 0.847 0.555
Cd 0.466 0.382 0.810
Cd 0.700 0.989 0.204
Cd 0.011 0.796 0.300
Cd 0.618 0.190 0.534
In 0.229 0.153 0.445
In 0.847 0.555 0.771
Cd 0.204 0.700 0.989
In 0.153 0.445 0.229

Summary:
uncorrected energy	-1.581	eV/atom
polymorph energy (0 for the lowest one)	0.00	eV per formula unit
ΔE_f	73	meV/atom

---

8.
A plane-wave DFT calculation with PBE was carried out for crystalline Cd7In2Sn3 at its relaxed geometry.

Unit cell a=3.137 b=5.717 c=17.108 alpha=84.87 beta=90.00 gamma=90.00
Sites, in units of the cell vectors:
In 0.500 0.243 0.655
Cd 0.500 0.743 0.526
Sn 0.000 0.261 0.307
Sn 0.500 0.500 0.000
Cd 0.500 0.108 0.153
Cd 0.000 0.634 0.163
In 0.500 0.757 0.345
Cd 0.000 0.366 0.837
Cd 0.500 0.892 0.847
Cd 0.000 0.000 0.000
Cd 0.500 0.257 0.474
Sn 0.000 0.739 0.693

Summary:
uncorrected energy	-1.949	eV/atom
ΔE_f	42	meV/atom